First-principles (GGA-PBEsol) data for CaCo4Cu after structural relaxation, as listed in the Alexandria database.

Unit cell a=4.805 b=4.805 c=4.805 alpha=60.00 beta=60.00 gamma=60.00
Fractional coordinates of all 6 atoms:
Cu: 0.750 0.750 0.750
Co: 0.376 0.376 0.376
Co: 0.376 0.376 0.872
Co: 0.376 0.872 0.376
Co: 0.872 0.376 0.376
Ca: 0.000 0.000 0.000

Output
DOS at the Fermi energy, states/eV/cell: 5.606
Raw total energy, eV per atom: -6.0106
Formation energy from the elements, eV/atom: 0.23

---

First-principles (GGA-PBEsol) data for MnSnB2O6 after structural relaxation, as listed in the Alexandria database.

Unit cell a=4.781 b=4.781 c=5.776 alpha=65.55 beta=65.55 gamma=60.00
Fractional coordinates of all 10 atoms:
O: 0.745 0.046 0.740
O: 0.468 0.745 0.740
O: 0.954 0.532 0.260
O: 0.046 0.468 0.740
O: 0.532 0.255 0.260
O: 0.255 0.954 0.260
Mn: 0.000 0.000 0.000
B: 0.246 0.246 0.263
B: 0.754 0.754 0.737
Sn: 0.500 0.500 0.500

Output
E_form (uncorrected), eV/atom: -1.99
Raw total energy, eV per atom: -7.9435

---

First-principles (GGA-PBEsol) data for ScInTe2 after structural relaxation, as listed in the Alexandria database.

Unit cell a=4.346 b=4.346 c=6.173 alpha=110.61 beta=110.61 gamma=90.00
Fractional coordinates of all 4 atoms:
Sc: 0.250 0.750 0.500
Te: 0.750 0.250 0.500
Te: 0.000 0.000 0.000
In: 0.500 0.500 0.000

Output
DOS at the Fermi energy, states/eV/cell: 1.616
E_form (uncorrected), eV/atom: -0.46
Raw total energy, eV per atom: -4.6228

---

First-principles (GGA-PBEsol) data for Sr5P6Pb2 after structural relaxation, as listed in the Alexandria database.

Unit cell a=4.251 b=12.371 c=13.212 alpha=90.00 beta=90.00 gamma=90.00
Fractional coordinates of all 26 atoms:
P: 0.000 0.130 0.803
P: 0.500 0.040 0.426
P: 0.000 0.370 0.303
P: 0.000 0.870 0.197
P: 0.000 0.630 0.697
P: 0.500 0.340 0.591
P: 0.500 0.840 0.909
P: 0.500 0.160 0.091
P: 0.500 0.660 0.409
P: 0.500 0.960 0.574
P: 0.500 0.460 0.926
P: 0.500 0.540 0.074
Pb: 0.500 0.783 0.104
Pb: 0.500 0.717 0.604
Pb: 0.500 0.283 0.396
Pb: 0.500 0.217 0.896
Sr: 0.000 0.350 0.076
Sr: 0.000 0.000 0.000
Sr: 0.000 0.888 0.744
Sr: 0.000 0.850 0.424
Sr: 0.000 0.500 0.500
Sr: 0.000 0.388 0.756
Sr: 0.000 0.112 0.256
Sr: 0.000 0.650 0.924
Sr: 0.000 0.612 0.244
Sr: 0.000 0.150 0.576

Output
DOS at the Fermi energy, states/eV/cell: 3.606
Raw total energy, eV per atom: -4.7502
Formation energy from the elements, eV/atom: -0.75

---

First-principles (GGA-PBEsol) data for AlZn2 after structural relaxation, as listed in the Alexandria database.

Unit cell a=2.931 b=3.866 c=4.654 alpha=114.54 beta=108.35 gamma=90.00
Fractional coordinates of all 3 atoms:
Al: 0.000 0.000 0.000
Zn: 0.667 0.667 0.334
Zn: 0.333 0.333 0.666

Output
DOS at the Fermi energy, states/eV/cell: 0.895
Raw total energy, eV per atom: -2.3915
Formation energy from the elements, eV/atom: 0.03

---

First-principles (GGA-PBEsol) data for TlAu7 after structural relaxation, as listed in the Alexandria database.

Unit cell a=5.854 b=5.854 c=5.854 alpha=60.00 beta=60.00 gamma=60.00
Fractional coordinates of all 8 atoms:
Au: 0.500 0.000 0.500
Au: 0.500 0.500 0.000
Au: 0.000 0.500 0.500
Au: 0.000 0.500 0.000
Au: 0.000 0.000 0.500
Au: 0.500 0.500 0.500
Au: 0.500 0.000 0.000
Tl: 0.000 0.000 0.000

Output
DOS at the Fermi energy, states/eV/cell: 2.584
Raw total energy, eV per atom: -3.7130
Formation energy from the elements, eV/atom: 0.05

---

First-principles (GGA-PBEsol) data for MnCrF5 after structural relaxation, as listed in the Alexandria database.

Unit cell a=5.300 b=5.300 c=7.326 alpha=69.75 beta=69.75 gamma=72.45
Fractional coordinates of all 14 atoms:
F: 0.277 0.211 0.370
F: 0.097 0.903 0.750
F: 0.789 0.723 0.130
F: 0.717 0.318 0.536
F: 0.283 0.682 0.464
F: 0.903 0.097 0.250
F: 0.211 0.277 0.870
F: 0.318 0.717 0.036
F: 0.723 0.789 0.630
F: 0.682 0.283 0.964
Cr: 0.000 0.000 0.000
Cr: 0.000 0.000 0.500
Mn: 0.464 0.536 0.750
Mn: 0.536 0.464 0.250

Output
E_form (uncorrected), eV/atom: -2.44
Raw total energy, eV per atom: -6.6774

---

First-principles (GGA-PBEsol) data for ReOsBr after structural relaxation, as listed in the Alexandria database.

Unit cell a=2.802 b=2.816 c=7.425 alpha=84.61 beta=79.12 gamma=60.17
Fractional coordinates of all 3 atoms:
Os: 0.680 0.000 0.640
Re: 0.323 0.000 0.355
Br: 0.997 0.000 0.005

Output
DOS at the Fermi energy, states/eV/cell: 2.553
E_form (uncorrected), eV/atom: 1.04
Raw total energy, eV per atom: -8.1024

---

First-principles (GGA-PBEsol) data for Ge2AuI after structural relaxation, as listed in the Alexandria database.

Unit cell a=4.947 b=4.947 c=4.947 alpha=60.00 beta=60.00 gamma=60.00
Fractional coordinates of all 4 atoms:
Ge: 0.750 0.750 0.750
Ge: 0.250 0.250 0.250
I: 0.000 0.000 0.000
Au: 0.500 0.500 0.500

Output
DOS at the Fermi energy, states/eV/cell: 2.204
E_form (uncorrected), eV/atom: 0.45
Raw total energy, eV per atom: -3.4394

---

First-principles (GGA-PBEsol) data for Rb3NaTc after structural relaxation, as listed in the Alexandria database.

Unit cell a=6.670 b=6.670 c=6.670 alpha=90.00 beta=90.00 gamma=90.00
Fractional coordinates of all 5 atoms:
Rb: 0.000 0.000 0.500
Rb: 0.000 0.500 0.000
Rb: 0.500 0.000 0.000
Na: 0.500 0.500 0.500
Tc: 0.000 0.000 0.000

Output
DOS at the Fermi energy, states/eV/cell: 11.360
Raw total energy, eV per atom: -1.9566
Formation energy from the elements, eV/atom: 1.19

---

First-principles (GGA-PBEsol) data for MoP2Os after structural relaxation, as listed in the Alexandria database.

Unit cell a=2.884 b=2.884 c=7.622 alpha=90.00 beta=90.00 gamma=118.65
Fractional coordinates of all 4 atoms:
P: 0.000 0.000 0.751
P: 0.000 0.000 0.249
Os: 0.500 0.500 0.000
Mo: 0.500 0.500 0.500

Output
DOS at the Fermi energy, states/eV/cell: 2.612
Raw total energy, eV per atom: -8.6429
Energy above the lowest structure with this stoichiometry, kJ/mol of atoms: 32.7
Formation energy from the elements, eV/atom: 0.25

---

First-principles (GGA-PBEsol) data for Sb2AuIF after structural relaxation, as listed in the Alexandria database.

Unit cell a=5.275 b=5.275 c=5.546 alpha=90.00 beta=90.00 gamma=90.00
Fractional coordinates of all 5 atoms:
Au: 0.000 0.000 0.000
Sb: 0.500 0.000 0.000
Sb: 0.000 0.500 0.000
I: 0.000 0.000 0.500
F: 0.500 0.500 0.500

Output
DOS at the Fermi energy, states/eV/cell: 1.952
E_form (uncorrected), eV/atom: 0.32
Raw total energy, eV per atom: -3.0254

---

First-principles (GGA-PBEsol) data for AlGaAsSe2 after structural relaxation, as listed in the Alexandria database.

Unit cell a=4.864 b=4.905 c=4.905 alpha=90.00 beta=90.00 gamma=90.00
Fractional coordinates of all 5 atoms:
Ga: 0.000 0.000 0.000
Al: 0.500 0.500 0.500
Se: 0.000 0.000 0.500
Se: 0.000 0.500 0.000
As: 0.500 0.000 0.000

Output
DOS at the Fermi energy, states/eV/cell: 4.310
E_form (uncorrected), eV/atom: 0.44
Raw total energy, eV per atom: -3.6097

---

First-principles (GGA-PBEsol) data for Sn7Ir5 after structural relaxation, as listed in the Alexandria database.

Unit cell a=6.462 b=6.851 c=6.851 alpha=77.15 beta=61.86 gamma=61.86
Fractional coordinates of all 12 atoms:
Sn: 0.583 0.500 0.500
Sn: 0.275 0.000 0.430
Sn: 0.705 0.570 0.000
Sn: 0.100 0.000 0.000
Sn: 0.083 0.500 0.500
Sn: 0.275 0.430 0.000
Sn: 0.705 0.000 0.570
Ir: 0.822 0.243 0.757
Ir: 0.579 0.243 0.243
Ir: 0.501 0.000 0.000
Ir: 0.822 0.757 0.243
Ir: 0.065 0.757 0.757

Output
DOS at the Fermi energy, states/eV/cell: 6.229
Raw total energy, eV per atom: -6.8516
Formation energy from the elements, eV/atom: -0.27

---

First-principles (GGA-PBEsol) data for Dy2Ga9Ru3 after structural relaxation, as listed in the Alexandria database.

Unit cell a=7.353 b=7.353 c=9.556 alpha=90.00 beta=90.00 gamma=118.81
Fractional coordinates of all 28 atoms:
Ga: 0.338 0.338 0.438
Ga: 0.661 0.990 0.078
Ga: 0.339 0.010 0.578
Ga: 0.990 0.661 0.422
Ga: 0.338 0.338 0.062
Ga: 0.662 0.662 0.562
Ga: 0.341 0.556 0.750
Ga: 0.662 0.662 0.938
Ga: 0.010 0.339 0.578
Ga: 0.556 0.341 0.750
Ga: 0.661 0.990 0.422
Ga: 0.010 0.339 0.922
Ga: 0.444 0.659 0.250
Ga: 0.134 0.134 0.750
Ga: 0.990 0.661 0.078
Ga: 0.339 0.010 0.922
Ga: 0.866 0.866 0.250
Ga: 0.659 0.444 0.250
Ru: 0.323 0.677 0.000
Ru: 0.677 0.323 0.500
Ru: 0.000 0.000 0.500
Ru: 0.677 0.323 0.000
Ru: 0.323 0.677 0.500
Ru: 0.000 0.000 0.000
Dy: 0.324 0.002 0.250
Dy: 0.002 0.324 0.250
Dy: 0.676 0.998 0.750
Dy: 0.998 0.676 0.750

Output
DOS at the Fermi energy, states/eV/cell: 11.638
Raw total energy, eV per atom: -5.6103
Formation energy from the elements, eV/atom: -0.57

---

First-principles (GGA-PBEsol) data for ScRu2Pb after structural relaxation, as listed in the Alexandria database.

Unit cell a=3.479 b=3.479 c=5.722 alpha=90.00 beta=90.00 gamma=90.00
Fractional coordinates of all 4 atoms:
Ru: 0.000 0.000 0.000
Ru: 0.500 0.500 0.266
Sc: 0.000 0.000 0.461
Pb: 0.500 0.500 0.773

Output
DOS at the Fermi energy, states/eV/cell: 4.351
Raw total energy, eV per atom: -7.5664
Formation energy from the elements, eV/atom: 0.17

---

First-principles (GGA-PBEsol) data for Sb2PbW after structural relaxation, as listed in the Alexandria database.

Unit cell a=3.139 b=3.139 c=10.151 alpha=90.00 beta=90.00 gamma=108.11
Fractional coordinates of all 4 atoms:
Sb: 0.000 0.000 0.703
Sb: 0.000 0.000 0.297
Pb: 0.500 0.500 0.000
W: 0.500 0.500 0.500

Output
DOS at the Fermi energy, states/eV/cell: 3.460
E_form (uncorrected), eV/atom: 0.51
Raw total energy, eV per atom: -6.2238

---

First-principles (GGA-PBEsol) data for TbNiSn4 after structural relaxation, as listed in the Alexandria database.

Unit cell a=4.344 b=4.412 c=14.285 alpha=90.00 beta=98.75 gamma=90.00
Fractional coordinates of all 12 atoms:
Sn: 0.285 0.000 0.571
Sn: 0.715 0.000 0.429
Sn: 0.500 0.500 0.000
Sn: 0.000 0.000 0.000
Sn: 0.109 0.000 0.218
Sn: 0.391 0.500 0.783
Sn: 0.609 0.500 0.217
Sn: 0.891 0.000 0.782
Tb: 0.193 0.500 0.386
Tb: 0.807 0.500 0.614
Ni: 0.448 0.000 0.897
Ni: 0.552 0.000 0.103

Output
DOS at the Fermi energy, states/eV/cell: 4.792
Raw total energy, eV per atom: -5.1150
Formation energy from the elements, eV/atom: -0.41

---

First-principles (GGA-PBEsol) data for CdAu after structural relaxation, as listed in the Alexandria database.

Unit cell a=3.315 b=3.315 c=3.315 alpha=90.00 beta=90.00 gamma=90.00
Fractional coordinates of all 2 atoms:
Au: 0.500 0.500 0.500
Cd: 0.000 0.000 0.000

Output
DOS at the Fermi energy, states/eV/cell: 0.522
Raw total energy, eV per atom: -2.7339
Formation energy from the elements, eV/atom: -0.17

---

First-principles (GGA-PBEsol) data for TlSiIr after structural relaxation, as listed in the Alexandria database.

Unit cell a=4.334 b=4.334 c=4.334 alpha=60.00 beta=60.00 gamma=60.00
Fractional coordinates of all 3 atoms:
Tl: 0.500 0.500 0.500
Si: 0.000 0.000 0.000
Ir: 0.750 0.750 0.750

Output
DOS at the Fermi energy, states/eV/cell: 1.813
E_form (uncorrected), eV/atom: 0.21
Raw total energy, eV per atom: -5.8539